DFT (PBE) results for a relaxed structure of Ac3SmIr2.

Geometry as CIF:
```
data_Ac3SmIr2
_chemical_formula_sum 'Ac12 Sm4 Ir8'
_cell_length_a 18.0958
_cell_length_b 4.3834
_cell_length_c 13.2740
_cell_angle_alpha 90.00
_cell_angle_beta 124.82
_cell_angle_gamma 90.00
_symmetry_space_group_name_H-M 'C 1 2/m 1'
_symmetry_Int_Tables_number 12
_symmetry_space_group_name_Hall '-C 2y'
loop_
_atom_site_label
_atom_site_type_symbol
_atom_site_fract_x
_atom_site_fract_y
_atom_site_fract_z
_atom_site_occupancy
Ac1 Ac 0.0608 0.0000 0.1940 1
Ac2 Ac 0.1839 0.0000 0.5562 1
Ac3 Ac 0.1867 0.5000 0.0520 1
Sm1 Sm 0.0570 0.5000 0.6967 1
Ir1 Ir 0.1237 0.0000 0.8666 1
Ir2 Ir 0.1247 0.5000 0.3753 1
```

Calculated values
ΔE_f = -0.5659 eV per atom
E = -6.3603 eV/atom